Computed, not measured: a geometry-optimized Dy4AsP2S structure at the PBE-GGA level of DFT.

Cell and atoms, written as POSCAR:
```
Dy4AsP2S
1.0
6.9410 0.0000 0.0000
0.0000 4.0135 0.0000
-2.3067 0.0000 6.5640
Dy As P S
4 1 2 1
Direct
0.2469 0.0000 0.2418
0.2528 0.5000 0.7572
0.7472 0.5000 0.2428
0.7531 0.0000 0.7582
0.0000 0.0000 0.5000
0.0000 0.5000 0.0000
0.5000 0.0000 0.0000
0.5000 0.5000 0.5000
```

Properties
**Formation energy without anion corrections**: -1745 meV/atom
**Calculated density**: 7.4 Mg/m³
**Crystal system**: monoclinic


Computed, not measured: a geometry-optimized Dy6AsP2S3 structure at the PBE-GGA level of DFT.

Cell and atoms, written as POSCAR:
```
Dy6AsP2S3
1.0
8.6797 -1.9914 0.0000
8.6797 1.9914 0.0000
-1.8177 0.0000 7.7458
Dy As P S
6 1 2 3
Direct
0.0025 0.0025 0.2537
0.3309 0.3309 0.4215
0.3318 0.3318 0.9086
0.6682 0.6682 0.0914
0.6691 0.6691 0.5785
0.9975 0.9975 0.7463
0.5000 0.5000 0.0000
0.1669 0.1669 0.3337
0.8331 0.8331 0.6663
0.1658 0.1658 0.8333
0.5000 0.5000 0.5000
0.8342 0.8342 0.1667
```

Properties
**Formation energy without anion corrections**: -1846 meV/atom
**Calculated density**: 7.5 Mg/m³
**Crystal system**: monoclinic


Computed, not measured: a geometry-optimized Dy6As2P3S structure at the PBE-GGA level of DFT.

Cell and atoms, written as POSCAR:
```
Dy6As2P3S
1.0
8.7797 -2.0151 0.0000
8.7797 2.0151 0.0000
-1.8614 0.0000 7.8511
Dy As P S
6 2 3 1
Direct
0.0019 0.0019 0.2452
0.3322 0.3322 0.4214
0.3350 0.3350 0.9130
0.6650 0.6650 0.0870
0.6678 0.6678 0.5786
0.9981 0.9981 0.7548
0.1656 0.1656 0.8311
0.8344 0.8344 0.1689
0.1660 0.1660 0.3342
0.5000 0.5000 0.0000
0.8340 0.8340 0.6658
0.5000 0.5000 0.5000
```

Properties
**Formation energy without anion corrections**: -1691 meV/atom
**Calculated density**: 7.5 Mg/m³
**Crystal system**: monoclinic


Computed, not measured: a geometry-optimized Dy6As2PS3 structure at the PBE-GGA level of DFT.

Cell and atoms, written as POSCAR:
```
Dy6As2PS3
1.0
8.7165 -2.0026 0.0000
8.7165 2.0026 0.0000
-1.8022 0.0000 7.7793
Dy As P S
6 2 1 3
Direct
0.0008 0.0008 0.2582
0.3345 0.3345 0.9157
0.3365 0.3365 0.4203
0.6635 0.6635 0.5797
0.6655 0.6655 0.0843
0.9992 0.9992 0.7418
0.1667 0.1667 0.8333
0.8333 0.8333 0.1667
0.5000 0.5000 0.5000
0.1674 0.1674 0.3336
0.5000 0.5000 0.0000
0.8326 0.8326 0.6664
```

Properties
**Formation energy without anion corrections**: -1819 meV/atom
**Calculated density**: 7.7 Mg/m³
**Crystal system**: monoclinic